# Dy7Te3C2 (PBE, relaxed)
data_Dy7Te3C2
_chemical_formula_sum 'Dy14 Te6 C4'
_cell_length_a 4.880
_cell_length_b 24.705
_cell_length_c 4.832
_cell_angle_alpha 90.00
_cell_angle_beta 90.00
_cell_angle_gamma 90.00
_space_group_name_H-M_alt 'C m m m'
_space_group_IT_number 65
_space_group_name_Hall '-C 2 2'
loop_
_atom_site_label
_atom_site_type_symbol
_atom_site_fract_x
_atom_site_fract_y
_atom_site_fract_z
Dy1 Dy 0.000 0.000 0.000
Dy2 Dy 0.000 0.095 0.500
Dy3 Dy 0.000 0.196 0.000
Dy4 Dy 0.000 0.405 0.000
Te1 Te 0.000 0.313 0.500
Te2 Te 0.000 0.500 0.500
C1 C 0.000 0.102 0.000
# Crystal system: orthorhombic
# Formation energy (no corrections) (eV/atom): -0.62

=====

# CrCuSi2 (PBE, relaxed)
data_CrCuSi2
_chemical_formula_sum 'Cr2 Cu2 Si4'
_cell_length_a 3.652
_cell_length_b 3.652
_cell_length_c 7.276
_cell_angle_alpha 90.00
_cell_angle_beta 90.00
_cell_angle_gamma 90.00
_space_group_name_H-M_alt 'I 4/m m m'
_space_group_IT_number 139
_space_group_name_Hall '-I 4 2'
loop_
_atom_site_label
_atom_site_type_symbol
_atom_site_fract_x
_atom_site_fract_y
_atom_site_fract_z
Cr1 Cr 0.000 0.000 0.000
Cu1 Cu 0.000 0.000 0.500
Si1 Si 0.000 0.500 0.250
# Crystal system: tetragonal
# Formation energy (no corrections) (eV/atom): -0.03

=====

# V2TcBSb (PBE, relaxed)
data_V2TcBSb
_chemical_formula_sum 'V2 Tc1 B1 Sb1'
_cell_length_a 4.778
_cell_length_b 4.778
_cell_length_c 4.839
_cell_angle_alpha 90.00
_cell_angle_beta 90.00
_cell_angle_gamma 90.00
_space_group_name_H-M_alt 'P 4/m m m'
_space_group_IT_number 123
_space_group_name_Hall '-P 4 2'
loop_
_atom_site_label
_atom_site_type_symbol
_atom_site_fract_x
_atom_site_fract_y
_atom_site_fract_z
V1 V 0.000 0.500 0.000
Tc1 Tc 0.000 0.000 0.500
B1 B 0.500 0.500 0.500
Sb1 Sb 0.000 0.000 0.000
# Crystal system: tetragonal
# Formation energy (no corrections) (eV/atom): 2.50

=====

# KGa6Ni (PBE, relaxed)
data_KGa6Ni
_chemical_formula_sum 'K1 Ga6 Ni1'
_cell_length_a 4.333
_cell_length_b 4.333
_cell_length_c 8.307
_cell_angle_alpha 90.00
_cell_angle_beta 90.00
_cell_angle_gamma 90.00
_space_group_name_H-M_alt 'P 4/m m m'
_space_group_IT_number 123
_space_group_name_Hall '-P 4 2'
loop_
_atom_site_label
_atom_site_type_symbol
_atom_site_fract_x
_atom_site_fract_y
_atom_site_fract_z
K1 K 0.000 0.000 0.000
Ga1 Ga 0.000 0.500 0.341
Ga2 Ga 0.500 0.500 0.156
Ni1 Ni 0.000 0.000 0.500
# Crystal system: tetragonal
# E_form (eV per atom): -0.192

=====

| no. | calculated volume (Å³ per cell) |
| --- | --- |
| 1 | 582.48 |
| 2 | 97.05 |
| 3 | 110.45 |
| 4 | 155.97 |